1.
Below is crystalline Ce4Pa3TaN8 at its relaxed geometry, with properties calculated at the PBE-GGA level.

Geometry as POSCAR:
```
Ce4Pa3TaN8
1.0
3.466 2.001 5.715
-3.466 2.001 5.715
0.000 -4.002 5.715
Ce Pa Ta N
4 3 1 8
Direct
0.000 0.000 0.000 Ce
0.000 0.500 0.500 Ce
0.500 0.000 0.500 Ce
0.500 0.500 0.000 Ce
0.000 0.000 0.500 Pa
0.000 0.500 0.000 Pa
0.500 0.000 0.000 Pa
0.500 0.500 0.500 Ta
0.243 0.243 0.243 N
0.259 0.729 0.729 N
0.271 0.271 0.741 N
0.271 0.741 0.271 N
0.729 0.259 0.729 N
0.729 0.729 0.259 N
0.741 0.271 0.271 N
0.757 0.757 0.757 N
```

## Properties
Raw total energy in eV/atom: -9.7215
Formation energy (no corrections) in eV/atom: -1.554
Symmetry: R-3m (166)

2.
Below is crystalline Ce3Pa2TaN6 at its relaxed geometry, with properties calculated at the PBE-GGA level.

Geometry as POSCAR:
```
Ce3Pa2TaN6
1.0
2.984 -5.160 0.000
2.984 5.160 0.000
-1.983 0.000 5.705
Ce Pa Ta N
3 2 1 6
Direct
0.000 0.000 0.000 Ce
0.334 0.666 0.000 Ce
0.666 0.334 0.000 Ce
0.166 0.834 0.500 Pa
0.834 0.166 0.500 Pa
0.500 0.500 0.500 Ta
0.112 0.429 0.284 N
0.258 0.258 0.720 N
0.429 0.112 0.284 N
0.571 0.888 0.716 N
0.742 0.742 0.280 N
0.888 0.571 0.716 N
```

## Properties
Raw total energy in eV/atom: -9.7479
Formation energy (no corrections) in eV/atom: -1.531
Symmetry: C2/m (12)

3.
Below is crystalline Ce2PaTaN4 at its relaxed geometry, with properties calculated at the PBE-GGA level.

Geometry as POSCAR:
```
Ce2PaTaN4
1.0
5.889 0.000 0.000
0.000 3.389 0.000
-1.882 0.000 5.681
Ce Pa Ta N
2 1 1 4
Direct
0.000 0.000 0.000 Ce
0.500 0.500 0.000 Ce
0.000 0.500 0.500 Pa
0.500 0.000 0.500 Ta
0.261 0.000 0.718 N
0.279 0.500 0.290 N
0.721 0.500 0.710 N
0.739 0.000 0.282 N
```

## Properties
Raw total energy in eV/atom: -9.7962
Formation energy (no corrections) in eV/atom: -1.481
Symmetry: P2/m (10)

4.
Below is crystalline CePa2TaN5 at its relaxed geometry, with properties calculated at the PBE-GGA level.

Geometry as POSCAR:
```
CePa2TaN5
1.0
1.694 -7.512 0.000
1.694 7.512 0.000
0.000 0.000 9.902
Ce Pa Ta N
2 4 2 10
Direct
0.026 0.974 0.500 Ce
0.974 0.026 0.000 Ce
0.349 0.651 0.313 Pa
0.371 0.629 0.715 Pa
0.629 0.371 0.215 Pa
0.651 0.349 0.813 Pa
0.281 0.719 0.022 Ta
0.719 0.281 0.522 Ta
0.030 0.970 0.263 N
0.142 0.858 0.003 N
0.197 0.803 0.389 N
0.226 0.774 0.678 N
0.410 0.590 0.109 N
0.590 0.410 0.609 N
0.774 0.226 0.178 N
0.803 0.197 0.889 N
0.858 0.142 0.503 N
0.970 0.030 0.763 N
```

## Properties
Raw total energy in eV/atom: -10.0032
Formation energy (no corrections) in eV/atom: -1.292
Symmetry: Cmc2_1 (36)

5.
Below is crystalline CePaTaN3 at its relaxed geometry, with properties calculated at the PBE-GGA level.

Geometry as POSCAR:
```
CePaTaN3
1.0
7.331 0.000 0.000
0.000 3.335 0.000
-0.217 0.000 7.941
Ce Pa Ta N
2 2 2 6
Direct
0.132 0.250 0.165 Ce
0.868 0.750 0.835 Ce
0.380 0.750 0.832 Pa
0.620 0.250 0.168 Pa
0.132 0.250 0.571 Ta
0.868 0.750 0.429 Ta
0.139 0.250 0.846 N
0.168 0.750 0.414 N
0.396 0.750 0.107 N
0.604 0.250 0.893 N
0.832 0.250 0.586 N
0.861 0.750 0.154 N
```

## Properties
Raw total energy in eV/atom: -9.8359
Formation energy (no corrections) in eV/atom: -1.126
Symmetry: P2_1/m (11)